Record 1
DFT (PBE) results for a geometry-optimized Tm5Pb3 structure.

Offset from the most stable computed form (eV per atom): 0.000
SG: P6_3/mcm
E_form (meV per atom): -500

abc: 8.938 8.938 6.521
angles: 90.00 90.00 120.00
Sites, in units of the cell vectors:
Tm  0.000  0.235  0.250
Tm  0.000  0.765  0.750
Tm  0.235  0.000  0.250
Tm  0.235  0.235  0.750
Tm  0.333  0.667  0.000
Tm  0.333  0.667  0.500
Tm  0.667  0.333  0.000
Tm  0.667  0.333  0.500
Tm  0.765  0.000  0.750
Tm  0.765  0.765  0.250
Pb  0.000  0.395  0.750
Pb  0.000  0.605  0.250
Pb  0.395  0.000  0.750
Pb  0.395  0.395  0.250
Pb  0.605  0.000  0.250
Pb  0.605  0.605  0.750

Record 2
DFT (PBE) results for a geometry-optimized YSbBr2 structure.

Offset from the most stable computed form (eV per atom): 0.182
Formation energy (no corrections) (kJ per mole of atoms): -83.4
SG: Imm2

abc: 8.681 8.681 8.681
angles: 156.70 144.79 42.65
Sites, in units of the cell vectors:
Y  0.000  0.000  0.000
Sb  0.834  0.334  0.500
Br  0.136  0.636  0.500
Br  0.479  0.479  0.000

Record 3
DFT (PBE) results for a geometry-optimized SrCaNi structure.

Offset from the most stable computed form (eV per atom): 0.000
SG: P2_1
E_form (meV per atom): -97

abc: 5.881 4.144 8.083
angles: 90.00 100.34 90.00
Sites, in units of the cell vectors:
Sr  0.206  0.000  0.325
Sr  0.794  0.500  0.675
Ca  0.328  0.001  0.852
Ca  0.672  0.501  0.148
Ni  0.107  0.503  0.028
Ni  0.893  0.003  0.972

Record 4
DFT (PBE) results for a geometry-optimized LiGa2Co structure.

SG: P4/mmm
E_form (meV per atom): -277

abc: 3.008 3.008 5.816
angles: 90.00 90.00 90.00
Sites, in units of the cell vectors:
Li  0.000  0.000  0.000
Ga  0.500  0.500  0.266
Ga  0.500  0.500  0.734
Co  0.000  0.000  0.500

Record 5
DFT (PBE) results for a geometry-optimized ScHgCl2 structure.

Offset from the most stable computed form (eV per atom): 0.247
Formation energy (no corrections) (kJ per mole of atoms): -110.3
SG: I-42d

abc: 7.865 7.865 7.865
angles: 121.09 121.09 88.13
Sites, in units of the cell vectors:
Sc  0.000  0.000  0.000
Sc  0.750  0.250  0.500
Hg  0.250  0.750  0.500
Hg  0.500  0.500  0.000
Cl  0.375  0.197  0.322
Cl  0.803  0.125  0.178
Cl  0.875  0.053  0.678
Cl  0.947  0.625  0.822

Record 6
DFT (PBE) results for a geometry-optimized Cs2IrO4 structure.

Formation energy (no corrections) (kJ per mole of atoms): -102.3
SG: Fmmm

abc: 6.831 6.317 6.297
angles: 65.58 57.35 57.07
Sites, in units of the cell vectors:
Cs  0.250  0.250  0.250
Cs  0.750  0.750  0.750
Ir  0.000  0.000  0.000
O  0.189  0.189  0.811
O  0.190  0.810  0.190
O  0.810  0.190  0.810
O  0.811  0.811  0.189

Record 7
DFT (PBE) results for a geometry-optimized CaPmHoEr structure.

SG: F-43m
E_form (meV per atom): 148

abc: 5.755 5.755 5.755
angles: 60.00 60.00 60.00
Sites, in units of the cell vectors:
Ca  0.000  0.000  0.000
Pm  0.250  0.250  0.250
Ho  0.750  0.750  0.750
Er  0.500  0.500  0.500

Record 8
DFT (PBE) results for a geometry-optimized Mg14SbC structure.

Offset from the most stable computed form (eV per atom): 0.118
Formation energy (no corrections) (kJ per mole of atoms): 23.9
SG: P-6m2

abc: 6.277 6.277 10.037
angles: 90.00 90.00 120.00
Sites, in units of the cell vectors:
Mg  0.000  0.000  0.248
Mg  0.000  0.000  0.752
Mg  0.011  0.505  0.271
Mg  0.011  0.505  0.729
Mg  0.324  0.162  0.500
Mg  0.338  0.169  0.000
Mg  0.495  0.505  0.271
Mg  0.495  0.505  0.729
Mg  0.495  0.989  0.271
Mg  0.495  0.989  0.729
Mg  0.831  0.169  0.000
Mg  0.831  0.662  0.000
Mg  0.838  0.162  0.500
Mg  0.838  0.676  0.500
Sb  0.333  0.667  0.000
C  0.333  0.667  0.500

Record 9
DFT (PBE) results for a geometry-optimized K2NiPbBr6 structure.

Formation energy (no corrections) (kJ per mole of atoms): -98.1
SG: R-3m

abc: 14.669 14.669 14.669
angles: 30.13 30.13 30.13
Sites, in units of the cell vectors:
K  0.138  0.138  0.138
K  0.309  0.309  0.309
K  0.691  0.691  0.691
K  0.862  0.862  0.862
Ni  0.000  0.000  0.000
Ni  0.500  0.500  0.500
Pb  0.415  0.415  0.415
Pb  0.585  0.585  0.585
Br  0.142  0.626  0.626
Br  0.193  0.193  0.721
Br  0.193  0.721  0.193
Br  0.279  0.807  0.807
Br  0.374  0.374  0.858
Br  0.374  0.858  0.374
Br  0.626  0.142  0.626
Br  0.626  0.626  0.142
Br  0.721  0.193  0.193
Br  0.807  0.279  0.807
Br  0.807  0.807  0.279
Br  0.858  0.374  0.374

Record 10
DFT (PBE) results for a geometry-optimized Nd3Sm4In2 structure.

SG: C2/m
E_form (meV per atom): -189

abc: 6.941 6.941 8.645
angles: 103.67 103.67 46.16
Sites, in units of the cell vectors:
Nd  0.000  0.000  0.000
Nd  0.425  0.425  0.652
Nd  0.575  0.575  0.348
Sm  0.123  0.123  0.656
Sm  0.330  0.330  0.037
Sm  0.670  0.670  0.963
Sm  0.877  0.877  0.344
In  0.212  0.212  0.319
In  0.788  0.788  0.681

Record 11
DFT (PBE) results for a geometry-optimized DyAl2Co structure.

SG: Pnma
E_form (meV per atom): -540

abc: 14.610 7.021 5.482
angles: 90.00 90.00 90.00
Sites, in units of the cell vectors:
Dy  0.100  0.250  0.237
Dy  0.134  0.750  0.035
Dy  0.366  0.250  0.535
Dy  0.400  0.750  0.737
Dy  0.600  0.250  0.263
Dy  0.634  0.750  0.465
Dy  0.866  0.250  0.965
Dy  0.900  0.750  0.763
Al  0.045  0.060  0.720
Al  0.045  0.440  0.720
Al  0.212  0.551  0.546
Al  0.212  0.949  0.546
Al  0.288  0.051  0.046
Al  0.288  0.449  0.046
Al  0.455  0.560  0.220
Al  0.455  0.940  0.220
Al  0.545  0.060  0.780
Al  0.545  0.440  0.780
Al  0.712  0.551  0.954
Al  0.712  0.949  0.954
Al  0.788  0.051  0.454
Al  0.788  0.449  0.454
Al  0.955  0.560  0.280
Al  0.955  0.940  0.280
Co  0.073  0.750  0.511
Co  0.191  0.250  0.778
Co  0.309  0.750  0.278
Co  0.427  0.250  0.011
Co  0.573  0.750  0.989
Co  0.691  0.250  0.722
Co  0.809  0.750  0.222
Co  0.927  0.250  0.489

Record 12
DFT (PBE) results for a geometry-optimized SrLaRh structure.

Offset from the most stable computed form (eV per atom): 0.013
SG: P3m1
E_form (meV per atom): -435

abc: 4.211 4.211 6.931
angles: 90.00 90.00 120.00
Sites, in units of the cell vectors:
Sr  0.000  0.000  0.000
La  0.667  0.333  0.531
Rh  0.333  0.667  0.726